Computed, not measured: Li4Fe2Cu3O10 after structural relaxation at the PBE with a Hubbard U level of DFT.

The calculated total energy comes out at -5.393 eV/atom. The total magnetic moment is 0.462 μB/atom.

It has space group P-1 (No. 2), with a = 5.0239 Å, b = 5.5095 Å, c = 7.6651 Å, α = 101.94°, β = 102.99° and γ = 106.97°. Symmetry generates all atoms from Li at (0.1101, 0.2067, 0.2343), Li at (0.2855, 0.5957, 0.6057), Fe at (0.4078, 0.8259, 0.3140), Cu at (0.1959, 0.3917, 0.9032), Cu at (0.5000, 0.0000, 0.0000), O at (0.0504, 0.5833, 0.3131), O at (0.1626, 0.8502, 0.0860), O at (0.2878, 0.9714, 0.7612), O at (0.3847, 0.1880, 0.4633) and O at (0.4496, 0.4513, 0.1463).